Here is an optimized crystal structure of Ca3Mg2Cd9 from Alexandria. Energies are from PBE.

Lattice parameters (Å, degrees): 4.840 10.033 14.548 90.00 90.00 90.00
Space group Immm (No. 71)
Unique sites:
Ca 0.000 0.000 0.000 [2 per cell]
Ca 0.000 0.000 0.290 [4 per cell]
Mg 0.000 0.182 0.500 [4 per cell]
Cd 0.000 0.288 0.135 [8 per cell]
Cd 0.000 0.359 0.338 [8 per cell]
Cd 0.000 0.500 0.000 [2 per cell]

Properties
Its crystal system is orthorhombic. The spin magnetization is 0.00 μB/f.u. As for the formation energy: -3.5 eV per formula unit. The calculation puts the energy at -1.498 eV per atom. The calculated volume is 706.4 Å³/cell.